# 1
Entry from Alexandria via LeMat-Bulk: K6Li after structural relaxation (PBE).

Results
The calculation puts the formation enthalpy at 0 K at 0.443 eV/atom. The total energy comes out at -0.7707 eV per atom.

a b c (Å): 11.0988 11.0988 11.0988
angles (deg): 90.00 90.00 90.00
Closest atoms and distances in Å follow each position.
Space group Im-3m (No. 229)
Asymmetric unit:
1 K 0.0000 0.2500 0.5000 x12  4 K 3.92
2 Li 0.0000 0.0000 0.0000 x2  none within 6


# 2
Entry from Alexandria via LeMat-Bulk: KLi3 after structural relaxation (PBE).

Results
The calculation puts the formation enthalpy at 0 K at 0.123 eV/atom. The total energy comes out at -1.5870 eV per atom.

a b c (Å): 4.9897 6.4976 8.0744
angles (deg): 90.00 90.00 90.00
Closest atoms and distances in Å follow each position.
Space group Pmmn (No. 59, origin choice 2)
Asymmetric unit:
1 K 0.2500 0.2500 0.0949 x2  8 Li 3.61-3.99
2 Li 0.2500 0.0145 0.5984 x4  6 Li 2.96-3.06
3 Li 0.2500 0.7500 0.2902 x2  6 Li 3.02-3.06


# 3
Entry from Alexandria via LeMat-Bulk: KLi6 after structural relaxation (PBE).

Results
The calculation puts the formation enthalpy at 0 K at 0.312 eV/atom. The total energy comes out at -1.4854 eV per atom.

a b c (Å): 7.6932 7.6932 7.6932
angles (deg): 90.00 90.00 90.00
Closest atoms and distances in Å follow each position.
Space group Im-3m (No. 229)
Asymmetric unit:
1 K 0.0000 0.0000 0.0000 x2  24 Li 4.30
2 Li 0.0000 0.2500 0.5000 x12  4 Li 2.72


# 4
Entry from Alexandria via LeMat-Bulk: KLi after structural relaxation (PBE).

Results
The calculation puts the formation enthalpy at 0 K at 0.149 eV/atom. The total energy comes out at -1.3566 eV per atom.

a b c (Å): 5.0868 5.0868 17.5055
angles (deg): 90.00 90.00 120.00
Closest atoms and distances in Å follow each position.
Space group P6_3/mmc (No. 194)
Asymmetric unit:
1 K 0.3333 0.6667 0.1051 x4  6 Li 3.88
2 Li 0.0000 0.0000 0.2500 x2  3 Li 2.94
3 Li 0.3333 0.6667 0.7500 x2  3 Li 2.94